Entry 1:
{
  "formula": "TiGe8Mo6",
  "functional": "PBE-GGA",
  "state": "optimized geometry",
  "magnetic_moment_mub_per_fu": 0.000,
  "rho_g_cm3": 7.88,
  "space_group": "No. 148",
  "delta_e_f_mev_per_atom": -18,
  "cell": [[6.539, 1.441, 1.488], [1.236, 6.581, 1.488], [1.236, 1.275, 6.625]],
  "species": ["Mo", "Ge", "Ti", "Mo", "Ge", "Mo", "Ge", "Ge", "Ge", "Mo", "Ge", "Ge", "Mo", "Mo", "Ge"],
  "frac_coords": [[0.651, 0.211, 0.433], [0.975, 0.148, 0.595], [0.000, 0.000, 0.000], [0.349, 0.789, 0.567], [0.703, 0.703, 0.703], [0.433, 0.651, 0.211], [0.405, 0.025, 0.852], [0.595, 0.975, 0.148], [0.148, 0.595, 0.975], [0.567, 0.349, 0.789], [0.852, 0.405, 0.025], [0.297, 0.297, 0.297], [0.789, 0.567, 0.349], [0.211, 0.433, 0.651], [0.025, 0.852, 0.405]]
}

Entry 2:
{
  "formula": "DyGeBr2",
  "functional": "PBE-GGA",
  "state": "optimized geometry",
  "magnetic_moment_mub_per_fu": 0.000,
  "rho_g_cm3": 5.51,
  "space_group": "No. 166",
  "formation_energy_uncorrected_ev_per_atom": -0.315,
  "cell": [[-0.156, -3.662, -0.172], [1.636, -2.030, 2.583], [-8.088, -1.791, 6.321]],
  "species": ["Br", "Br", "Dy", "Ge"],
  "frac_coords": [[0.911, 0.911, 0.267], [0.089, 0.089, 0.733], [0.000, 0.000, 0.000], [0.500, 0.500, 0.500]]
}

Entry 3:
{
  "formula": "Th2ZnTe",
  "functional": "PBE-GGA",
  "state": "optimized geometry",
  "magnetic_moment_mub_per_fu": 0.000,
  "rho_g_cm3": 9.32,
  "space_group": "No. 160",
  "formation_energy_uncorrected_ev_per_atom": -0.521,
  "cell": [[3.940, -0.001, 0.000], [1.969, 3.412, 0.000], [1.970, 1.137, 8.711]],
  "species": ["Th", "Th", "Zn", "Te"],
  "frac_coords": [[0.079, 0.079, 0.763], [0.254, 0.254, 0.237], [0.667, 0.667, 0.000], [0.500, 0.500, 0.500]]
}

Entry 4:
{
  "formula": "Y2ZnSiPd6",
  "functional": "PBE-GGA",
  "state": "optimized geometry",
  "magnetic_moment_mub_per_fu": 0.000,
  "rho_g_cm3": 8.27,
  "space_group": "No. 2",
  "formation_energy_uncorrected_ev_per_atom": -0.690,
  "cell": [[-4.076, 1.692, 3.239], [-3.522, -7.743, -0.418], [-1.713, -4.005, 4.581]],
  "species": ["Y", "Pd", "Y", "Pd", "Pd", "Pd", "Zn", "Pd", "Pd", "Si"],
  "frac_coords": [[0.256, 0.753, 0.489], [0.252, 0.418, 0.498], [0.744, 0.247, 0.511], [0.196, 0.206, 0.110], [0.748, 0.582, 0.502], [0.696, 0.209, 0.106], [0.000, 0.000, 0.000], [0.304, 0.791, 0.894], [0.804, 0.794, 0.890], [0.500, 0.500, 0.000]]
}

Entry 5:
{
  "formula": "La2MgN",
  "functional": "PBE-GGA",
  "state": "optimized geometry",
  "magnetic_moment_mub_per_fu": 0.000,
  "rho_g_cm3": 4.74,
  "space_group": "No. 166",
  "formation_energy_uncorrected_ev_per_atom": -0.545,
  "cell": [[-0.385, 1.263, -3.330], [-3.253, 0.154, -1.493], [-2.443, 9.669, 2.024]],
  "species": ["La", "Mg", "N", "La"],
  "frac_coords": [[0.881, 0.881, 0.357], [0.000, 0.000, 0.000], [0.500, 0.500, 0.500], [0.119, 0.119, 0.643]]
}

Entry 6:
{
  "formula": "SmEr2Co9",
  "functional": "PBE-GGA",
  "state": "optimized geometry",
  "magnetic_moment_mub_per_fu": 10.719,
  "rho_g_cm3": 9.67,
  "space_group": "No. 166",
  "delta_e_f_mev_per_atom": -176,
  "cell": [[-2.375, -0.577, -4.355], [0.303, -4.339, -2.454], [-7.222, -4.309, 1.646]],
  "species": ["Sm", "Co", "Co", "Co", "Co", "Er", "Co", "Co", "Er", "Co", "Co", "Co"],
  "frac_coords": [[0.000, 0.000, 0.000], [0.500, 0.500, 0.500], [0.584, 0.078, 0.753], [0.922, 0.416, 0.247], [0.335, 0.335, 0.994], [0.140, 0.140, 0.579], [0.078, 0.584, 0.753], [0.665, 0.665, 0.006], [0.860, 0.860, 0.421], [0.416, 0.922, 0.247], [0.416, 0.416, 0.247], [0.584, 0.584, 0.753]]
}

Entry 7:
{
  "formula": "CeTmTlPd",
  "functional": "PBE-GGA",
  "state": "optimized geometry",
  "magnetic_moment_mub_per_fu": 0.628,
  "rho_g_cm3": 10.25,
  "space_group": "No. 216",
  "delta_e_f_mev_per_atom": -428,
  "cell": [[5.218, 0.000, 0.000], [2.609, 4.519, 0.000], [2.609, 1.506, 4.260]],
  "species": ["Tm", "Tl", "Ce", "Pd"],
  "frac_coords": [[0.750, 0.750, 0.750], [0.000, 0.000, 0.000], [0.250, 0.250, 0.250], [0.500, 0.500, 0.500]]
}

Entry 8:
{
  "formula": "Cs3La2ThS6",
  "functional": "PBE-GGA",
  "state": "optimized geometry",
  "magnetic_moment_mub_per_fu": 0.000,
  "rho_g_cm3": 4.73,
  "space_group": "No. 12",
  "formation_energy_uncorrected_ev_per_atom": -1.811,
  "cell": [[-6.353, 1.569, 3.520], [0.152, -5.302, -5.204], [3.843, -4.259, 6.219]],
  "species": ["S", "La", "S", "Cs", "La", "S", "Cs", "Th", "S", "S", "S", "Cs"],
  "frac_coords": [[0.740, 0.740, 0.188], [0.333, 0.667, 0.000], [0.385, 0.062, 0.187], [0.500, 0.500, 0.500], [0.667, 0.333, 0.000], [0.615, 0.938, 0.813], [0.168, 0.832, 0.500], [0.000, 0.000, 0.000], [0.938, 0.615, 0.813], [0.062, 0.385, 0.187], [0.260, 0.260, 0.812], [0.832, 0.168, 0.500]]
}

Entry 9:
{
  "formula": "BaMnPt2",
  "functional": "PBE-GGA",
  "state": "optimized geometry",
  "magnetic_moment_mub_per_fu": 4.319,
  "rho_g_cm3": 9.84,
  "space_group": "No. 166",
  "delta_e_f_mev_per_atom": -482,
  "cell": [[5.993, -1.312, -0.770], [5.278, 3.128, -0.770], [5.278, 0.851, 3.107]],
  "species": ["Mn", "Pt", "Ba", "Pt"],
  "frac_coords": [[0.750, 0.750, 0.750], [0.054, 0.054, 0.054], [0.250, 0.250, 0.250], [0.446, 0.446, 0.446]]
}

Entry 10:
{
  "formula": "Ba2AlIn7",
  "functional": "PBE-GGA",
  "state": "optimized geometry",
  "magnetic_moment_mub_per_fu": 0.000,
  "rho_g_cm3": 6.09,
  "space_group": "No. 115",
  "delta_e_f_mev_per_atom": -317,
  "cell": [[-4.399, 1.119, -1.996], [-1.189, -4.813, -0.080], [-4.830, 1.007, 11.213]],
  "species": ["In", "Ba", "In", "Ba", "In", "In", "Al", "In", "In", "In"],
  "frac_coords": [[0.000, 0.000, 0.500], [0.000, 0.500, 0.245], [0.500, 0.000, 0.363], [0.500, 0.000, 0.755], [0.500, 0.000, 0.128], [0.000, 0.000, 0.000], [0.500, 0.500, 0.000], [0.000, 0.500, 0.872], [0.000, 0.500, 0.637], [0.500, 0.500, 0.500]]
}

Entry 11:
{
  "formula": "BaScHg",
  "functional": "PBE-GGA",
  "state": "optimized geometry",
  "magnetic_moment_mub_per_fu": 0.038,
  "rho_g_cm3": 6.68,
  "space_group": "No. 36",
  "delta_e_f_mev_per_atom": -211,
  "cell": [[-3.766, 0.170, -0.494], [0.962, -13.201, -11.882], [-0.711, -3.762, 4.122]],
  "species": ["Ba", "Hg", "Ba", "Ba", "Hg", "Ba", "Sc", "Hg", "Sc", "Sc", "Sc", "Hg"],
  "frac_coords": [[0.500, 0.429, 0.945], [0.000, 0.376, 0.453], [0.500, 0.571, 0.445], [0.000, 0.071, 0.445], [0.500, 0.124, 0.953], [0.000, 0.929, 0.945], [0.500, 0.743, 0.843], [0.000, 0.624, 0.953], [0.500, 0.257, 0.343], [0.000, 0.757, 0.343], [0.000, 0.243, 0.843], [0.500, 0.876, 0.453]]
}

Entry 12:
{
  "formula": "BeIrAu2",
  "functional": "PBE-GGA",
  "state": "optimized geometry",
  "magnetic_moment_mub_per_fu": 0.000,
  "rho_g_cm3": 16.83,
  "space_group": "No. 99",
  "delta_e_f_mev_per_atom": -94,
  "cell": [[2.866, 0.000, 0.000], [0.000, 2.866, 0.000], [0.000, 0.000, 7.149]],
  "species": ["Au", "Au", "Ir", "Be"],
  "frac_coords": [[0.000, 0.000, 0.985], [0.500, 0.500, 0.294], [0.500, 0.500, 0.692], [0.000, 0.000, 0.528]]
}

Entry 13:
{
  "formula": "Na8In2Sn",
  "functional": "PBE-GGA",
  "state": "optimized geometry",
  "magnetic_moment_mub_per_fu": 0.000,
  "rho_g_cm3": 2.21,
  "space_group": "No. 12",
  "delta_e_f_mev_per_atom": 26,
  "cell": [[-0.745, 3.205, 4.590], [-4.522, -5.412, 4.817], [6.842, -2.362, 4.532]],
  "species": ["Na", "Na", "Na", "Sn", "Na", "Na", "Na", "In", "Na", "Na", "In"],
  "frac_coords": [[0.119, 0.737, 0.737], [0.199, 0.853, 0.332], [0.881, 0.263, 0.263], [0.000, 0.000, 0.000], [0.300, 0.410, 0.410], [0.801, 0.147, 0.668], [0.801, 0.668, 0.147], [0.538, 0.873, 0.873], [0.199, 0.332, 0.853], [0.700, 0.590, 0.590], [0.462, 0.127, 0.127]]
}

Raw total energy for the records above, in order: -7.34 -3.46 -5.33 -5.77 -5.49 -6.66 -4.92 -5.53 -6.28 -2.99 -3.06 -4.88 -1.80 eV per atom